[1]
CaTl2Pb3 | PBE | optimized geometry

```
CaTl2Pb3
1.0
4.161 -4.943 0.000
4.161 4.943 0.000
-1.741 0.000 9.108
Ca Tl Pb
2 4 6
Direct
0.108 0.892 0.750
0.892 0.108 0.250
0.118 0.633 0.376
0.367 0.882 0.124
0.633 0.118 0.876
0.882 0.367 0.624
0.155 0.335 0.984
0.335 0.155 0.484
0.451 0.549 0.750
0.549 0.451 0.250
0.665 0.845 0.516
0.845 0.665 0.016
```

## Properties
ΔE_f = -0.117 eV/atom
SG = C2/c, No. 15
magnetization = 0.0 μB per cell
calculated total energy = -3.093 eV per atom

***

[2]
Ca6Tl5Pb | PBE | optimized geometry

```
Ca6Tl5Pb
1.0
-2.756 3.904 8.266
2.756 -3.904 8.266
2.756 3.904 -8.266
Ca Tl Pb
6 5 1
Direct
0.083 0.834 0.249
0.250 0.500 0.750
0.416 0.166 0.249
0.584 0.834 0.751
0.750 0.500 0.250
0.917 0.166 0.751
0.000 0.000 0.000
0.168 0.668 0.500
0.331 0.331 0.000
0.669 0.669 0.000
0.832 0.332 0.500
0.500 0.000 0.500
```

## Properties
ΔE_f = -0.460 eV/atom
SG = Immm, No. 71
magnetization = 0.0 μB per cell
calculated total energy = -2.756 eV per atom

***

[3]
Ca3Tl2Pb2 | PBE | optimized geometry

```
Ca3Tl2Pb2
1.0
4.897 0.000 0.000
-2.444 5.028 0.000
-0.002 -1.810 8.615
Ca Tl Pb
3 2 2
Direct
0.000 0.000 0.000
0.430 0.859 0.284
0.570 0.141 0.716
0.148 0.295 0.438
0.852 0.705 0.562
0.281 0.562 0.865
0.719 0.438 0.135
```

## Properties
ΔE_f = -0.387 eV/atom
SG = P-1, No. 2
magnetization = 0.0 μB per cell
calculated total energy = -2.981 eV per atom

***

> Which value of calculated total energy does entry 2 give?

-2.756 eV per atom